Record 1
{"formula": "MgU4Se7", "functional": "GGA-PBE", "state": "optimized geometry", "raw_formation_energy_kj_per_mol_fu": -1229.3, "magnetic_moment_mub_per_fu": 10.80, "dft_energy_ev_per_atom": -6.99, "lattice": [[4.0109, 0.0000, 0.0000], [-2.0055, 3.4736, 0.0000], [0.0000, 0.0000, 24.0150]], "species": ["Mg", "U", "U", "U", "U", "Se", "Se", "Se", "Se", "Se", "Se", "Se"], "fractional_positions": [[0.0000, 0.0000, 0.0000], [0.3333, 0.6667, 0.1429], [0.3333, 0.6667, 0.4273], [0.6667, 0.3333, 0.5727], [0.6667, 0.3333, 0.8571], [0.0000, 0.0000, 0.2092], [0.0000, 0.0000, 0.5000], [0.0000, 0.0000, 0.7908], [0.3333, 0.6667, 0.6396], [0.3333, 0.6667, 0.9367], [0.6667, 0.3333, 0.0633], [0.6667, 0.3333, 0.3604]]}


Record 2
{"formula": "NbAsPd2F", "functional": "GGA-PBE", "state": "optimized geometry", "raw_formation_energy_kj_per_mol_fu": 92.4, "magnetic_moment_mub_per_fu": 0.59, "dft_energy_ev_per_atom": -5.20, "lattice": [[4.1258, 0.0000, 0.0000], [0.0000, 4.1258, 0.0000], [0.0000, 0.0000, 4.8923]], "species": ["Nb", "As", "Pd", "Pd", "F"], "fractional_positions": [[0.0000, 0.0000, 0.0000], [0.5000, 0.5000, 0.0000], [0.0000, 0.5000, 0.5000], [0.5000, 0.0000, 0.5000], [0.5000, 0.5000, 0.5000]]}


Record 3
{"formula": "Ga2CuIr", "functional": "GGA-PBE", "state": "optimized geometry", "magnetic_moment_mub_per_fu": 0.00, "dft_energy_ev_per_atom": -4.89, "lattice": [[2.0113, 1.1612, 4.6232], [-2.0113, 1.1612, 4.6232], [0.0000, -2.3224, 4.6232]], "species": ["Ga", "Ga", "Cu", "Ir"], "fractional_positions": [[0.0000, 0.0000, 0.0000], [0.1908, 0.1908, 0.1908], [0.4120, 0.4120, 0.4120], [0.6047, 0.6047, 0.6047]]}


Record 4
{"formula": "Ac2AlCd2Ge4", "functional": "GGA-PBE", "state": "optimized geometry", "magnetic_moment_mub_per_fu": 0.00, "dft_energy_ev_per_atom": -3.92, "lattice": [[-3.4222, 3.4222, 4.6839], [3.4222, -3.4222, 4.6839], [3.4222, 3.4222, -4.6839]], "species": ["Ac", "Ac", "Al", "Cd", "Cd", "Ge", "Ge", "Ge", "Ge"], "fractional_positions": [[0.2500, 0.7500, 0.5000], [0.7500, 0.2500, 0.5000], [0.0000, 0.0000, 0.0000], [0.2868, 0.2868, 0.0000], [0.7132, 0.7132, 0.0000], [0.2870, 0.2870, 0.5741], [0.2870, 0.7130, 0.0000], [0.7130, 0.2870, 0.0000], [0.7130, 0.7130, 0.4259]]}


Record 5
{"formula": "Mg2BeC", "functional": "GGA-PBE", "state": "optimized geometry", "magnetic_moment_mub_per_fu": 0.00, "dft_energy_ev_per_atom": -3.82, "lattice": [[-4.2762, 4.2762, 1.6569], [4.2762, -4.2762, 1.6569], [4.2762, 4.2762, -1.6569]], "species": ["Mg", "Mg", "Mg", "Mg", "Be", "Be", "C", "C"], "fractional_positions": [[0.3750, 0.0338, 0.1588], [0.7838, 0.6250, 0.6588], [0.8750, 0.2162, 0.8412], [0.9662, 0.1250, 0.3412], [0.2500, 0.7500, 0.5000], [0.5000, 0.5000, 0.0000], [0.0000, 0.0000, 0.0000], [0.7500, 0.2500, 0.5000]]}


Record 6
{"formula": "Pm4Pt2Au", "functional": "GGA-PBE", "state": "optimized geometry", "magnetic_moment_mub_per_fu": 0.00, "dft_energy_ev_per_atom": -5.78, "lattice": [[-4.5571, 4.5571, 4.4499], [4.5571, -4.5571, 4.4499], [4.5571, 4.5571, -4.4499]], "species": ["Pm", "Pm", "Pm", "Pm", "Pm", "Pm", "Pm", "Pm", "Pt", "Pt", "Pt", "Pt", "Au", "Au"], "fractional_positions": [[0.0046, 0.3863, 0.2522], [0.1341, 0.7525, 0.7478], [0.1363, 0.2546, 0.7522], [0.2475, 0.9954, 0.3817], [0.5025, 0.3841, 0.2478], [0.6137, 0.8659, 0.6183], [0.6159, 0.8637, 0.1183], [0.7454, 0.4975, 0.8817], [0.2447, 0.6250, 0.1197], [0.3750, 0.4947, 0.6197], [0.5053, 0.1250, 0.8803], [0.8750, 0.7553, 0.3803], [0.0000, 0.0000, 0.0000], [0.7500, 0.2500, 0.5000]]}